Record 1
First-principles (PBE-GGA) data for crystalline Ce4SnBiSe2 at its relaxed geometry, as listed in Alexandria.

Cell lengths 7.549, 4.389, 7.612 Å; angles 90.00, 109.59, 90.00 degrees
Fractional coordinates of all 8 atoms:
Ce (0.229, 0.000, 0.239)
Ce (0.232, 0.500, 0.747)
Ce (0.768, 0.500, 0.253)
Ce (0.771, 0.000, 0.761)
Sn (0.500, 0.000, 0.000)
Bi (0.500, 0.500, 0.500)
Se (0.000, 0.000, 0.500)
Se (0.000, 0.500, 0.000)

volume	29.7	A^3/atom
total magnetic moment	0.46	μB/atom
formation energy without anion corrections	-1.22	eV/atom

Record 2
First-principles (PBE-GGA) data for crystalline AlReHg3 at its relaxed geometry, as listed in Alexandria.

Cell lengths 5.143, 5.143, 5.143 Å; angles 90.00, 90.00, 90.00 degrees
Fractional coordinates of all 5 atoms:
Al (0.000, 0.000, 0.000)
Re (0.500, 0.500, 0.500)
Hg (0.000, 0.000, 0.500)
Hg (0.000, 0.500, 0.000)
Hg (0.500, 0.000, 0.000)

ΔE to the lowest computed polymorph	288	meV/atom
volume	27.2	A^3/atom
calculated formation energy	1.3543	eV/atom
total magnetic moment	0.88	μB/atom

Record 3
First-principles (PBE-GGA) data for crystalline Li3AsF6 at its relaxed geometry, as listed in Alexandria.

Cell lengths 5.577, 5.846, 5.856 Å; angles 62.04, 63.08, 63.01 degrees
Fractional coordinates of all 10 atoms:
Li (0.000, 0.000, 0.000)
Li (0.000, 0.000, 0.500)
Li (0.000, 0.500, 0.000)
As (0.500, 0.500, 0.500)
F (0.219, 0.285, 0.767)
F (0.220, 0.750, 0.750)
F (0.231, 0.779, 0.274)
F (0.769, 0.221, 0.726)
F (0.780, 0.250, 0.250)
F (0.781, 0.715, 0.233)

ΔE to the lowest computed polymorph	0	meV/atom
volume	14.3	A^3/atom
total magnetic moment	0.00	μB/atom
formation energy without anion corrections	-2.49	eV/atom

Record 4
First-principles (PBE-GGA) data for crystalline PrNd2Tl3S6 at its relaxed geometry, as listed in Alexandria.

Cell lengths 7.265, 7.265, 7.876 Å; angles 98.84, 98.84, 120.00 degrees
Fractional coordinates of all 12 atoms:
Pr (0.000, 0.000, 0.000)
Nd (0.333, 0.667, 0.000)
Nd (0.667, 0.333, 0.000)
Tl (0.167, 0.833, 0.500)
Tl (0.500, 0.500, 0.500)
Tl (0.833, 0.167, 0.500)
S (0.068, 0.404, 0.205)
S (0.267, 0.267, 0.795)
S (0.404, 0.068, 0.205)
S (0.596, 0.932, 0.795)
S (0.733, 0.733, 0.205)
S (0.932, 0.596, 0.795)

volume	28.5	A^3/atom
total magnetic moment	0.00	μB/atom
formation energy without anion corrections	-1.45	eV/atom

Record 5
First-principles (PBE-GGA) data for crystalline TbNd4Dy2Er2 at its relaxed geometry, as listed in Alexandria.

Cell lengths 8.055, 8.055, 8.038 Å; angles 107.45, 107.45, 36.79 degrees
Fractional coordinates of all 9 atoms:
Tb (0.000, 0.000, 0.000)
Nd (0.223, 0.223, 0.331)
Nd (0.446, 0.446, 0.669)
Nd (0.554, 0.554, 0.331)
Nd (0.777, 0.777, 0.669)
Dy (0.111, 0.111, 0.670)
Dy (0.889, 0.889, 0.330)
Er (0.332, 0.332, 0.000)
Er (0.668, 0.668, 0.000)

volume	32.9	A^3/atom
calculated formation energy	0.0203	eV/atom
total magnetic moment	0.00	μB/atom

Record 6
First-principles (PBE-GGA) data for crystalline GaSi3Pt3 at its relaxed geometry, as listed in Alexandria.

Cell lengths 6.962, 4.761, 6.966 Å; angles 90.00, 90.79, 90.00 degrees
Fractional coordinates of all 14 atoms:
Ga (0.066, 0.250, 0.435)
Ga (0.934, 0.750, 0.565)
Si (0.176, 0.250, 0.844)
Si (0.342, 0.750, 0.675)
Si (0.409, 0.750, 0.090)
Si (0.591, 0.250, 0.910)
Si (0.658, 0.250, 0.325)
Si (0.824, 0.750, 0.156)
Pt (0.087, 0.750, 0.915)
Pt (0.339, 0.250, 0.162)
Pt (0.416, 0.250, 0.588)
Pt (0.584, 0.750, 0.412)
Pt (0.661, 0.750, 0.838)
Pt (0.913, 0.250, 0.085)

volume	16.5	A^3/atom
total magnetic moment	0.00	μB/atom
formation energy without anion corrections	-0.48	eV/atom

Record 7
First-principles (PBE-GGA) data for crystalline Ba2LiInAu6 at its relaxed geometry, as listed in Alexandria.

Cell lengths 6.508, 7.011, 7.412 Å; angles 72.61, 63.96, 62.45 degrees
Fractional coordinates of all 10 atoms:
Ba (0.243, 0.308, 0.206)
Ba (0.757, 0.692, 0.794)
Li (0.500, 0.500, 0.500)
In (0.000, 0.000, 0.000)
Au (0.252, 0.884, 0.612)
Au (0.254, 0.781, 0.267)
Au (0.303, 0.219, 0.733)
Au (0.697, 0.781, 0.267)
Au (0.746, 0.219, 0.733)
Au (0.748, 0.116, 0.388)

volume	26.7	A^3/atom
calculated formation energy	-0.5069	eV/atom
total magnetic moment	0.00	μB/atom

Record 8
First-principles (PBE-GGA) data for crystalline TlMo2Pb at its relaxed geometry, as listed in Alexandria.

Cell lengths 3.388, 4.953, 5.475 Å; angles 90.00, 95.15, 90.00 degrees
Fractional coordinates of all 4 atoms:
Tl (0.000, 0.000, 0.000)
Mo (0.308, 0.500, 0.171)
Mo (0.692, 0.500, 0.829)
Pb (0.500, 0.000, 0.500)

ΔE to the lowest computed polymorph	362	meV/atom
volume	22.9	A^3/atom
calculated formation energy	0.7723	eV/atom
total magnetic moment	0.00	μB/atom

Record 9
First-principles (PBE-GGA) data for crystalline K2TeBr at its relaxed geometry, as listed in Alexandria.

Cell lengths 8.481, 3.900, 9.326 Å; angles 90.00, 101.47, 90.00 degrees
Fractional coordinates of all 8 atoms:
K (0.240, 0.000, 0.225)
K (0.260, 0.500, 0.775)
K (0.740, 0.500, 0.225)
K (0.760, 0.000, 0.775)
Te (0.000, 0.000, 0.500)
Te (0.500, 0.500, 0.500)
Br (0.000, 0.500, 0.000)
Br (0.500, 0.000, 0.000)

ΔE to the lowest computed polymorph	52	meV/atom
volume	37.8	A^3/atom
total magnetic moment	0.07	μB/atom
formation energy without anion corrections	-1.13	eV/atom

Record 10
First-principles (PBE-GGA) data for crystalline LiAcGa at its relaxed geometry, as listed in Alexandria.

Cell lengths 11.009, 4.939, 7.895 Å; angles 90.00, 133.27, 90.00 degrees
Fractional coordinates of all 12 atoms:
Li (0.089, 0.000, 0.263)
Li (0.411, 0.500, 0.737)
Li (0.589, 0.500, 0.263)
Li (0.911, 0.000, 0.737)
Ac (0.245, 0.000, 0.789)
Ac (0.255, 0.500, 0.211)
Ac (0.745, 0.500, 0.789)
Ac (0.755, 0.000, 0.211)
Ga (0.045, 0.500, 0.380)
Ga (0.455, 0.000, 0.620)
Ga (0.545, 0.000, 0.380)
Ga (0.955, 0.500, 0.620)

ΔE to the lowest computed polymorph	0	meV/atom
volume	26.0	A^3/atom
calculated formation energy	-0.3230	eV/atom
total magnetic moment	0.00	μB/atom

Record 11
First-principles (PBE-GGA) data for crystalline HfTiAl2H at its relaxed geometry, as listed in Alexandria.

Cell lengths 4.203, 4.203, 4.052 Å; angles 90.00, 90.00, 90.00 degrees
Fractional coordinates of all 5 atoms:
Hf (0.000, 0.000, 0.000)
Ti (0.500, 0.500, 0.000)
Al (0.000, 0.500, 0.500)
Al (0.500, 0.000, 0.500)
H (0.500, 0.500, 0.500)

E	-0.440	Ry/atom
volume	14.3	A^3/atom
total magnetic moment	0.00	μB/atom

Record 12
First-principles (PBE-GGA) data for crystalline TmGa4Co2 at its relaxed geometry, as listed in Alexandria.

Cell lengths 16.714, 4.110, 6.356 Å; angles 90.00, 90.00, 90.00 degrees
Fractional coordinates of all 28 atoms:
Tm (0.140, 0.250, 0.018)
Tm (0.360, 0.750, 0.518)
Tm (0.640, 0.250, 0.482)
Tm (0.860, 0.750, 0.982)
Ga (0.032, 0.750, 0.846)
Ga (0.071, 0.250, 0.503)
Ga (0.186, 0.750, 0.321)
Ga (0.195, 0.750, 0.727)
Ga (0.305, 0.250, 0.227)
Ga (0.314, 0.250, 0.821)
Ga (0.429, 0.750, 0.003)
Ga (0.468, 0.250, 0.346)
Ga (0.532, 0.750, 0.654)
Ga (0.571, 0.250, 0.997)
Ga (0.686, 0.750, 0.179)
Ga (0.695, 0.750, 0.773)
Ga (0.805, 0.250, 0.273)
Ga (0.814, 0.250, 0.679)
Ga (0.929, 0.750, 0.497)
Ga (0.968, 0.250, 0.154)
Co (0.039, 0.750, 0.244)
Co (0.216, 0.250, 0.527)
Co (0.284, 0.750, 0.027)
Co (0.461, 0.250, 0.744)
Co (0.539, 0.750, 0.256)
Co (0.716, 0.250, 0.973)
Co (0.784, 0.750, 0.473)
Co (0.961, 0.250, 0.756)

volume	15.6	A^3/atom
calculated formation energy	-0.3924	eV/atom
total magnetic moment	0.00	μB/atom